This record from Alexandria via LeMat-Bulk describes a relaxed structure of V6O7F5. The functional is GGA+U.

Properties
The value obtained for the polymorph energy (0 for the lowest one) is 0.14 eV per formula unit. The uncorrected energy comes out at -7.267 eV/atom. Its space group is P1, No. 1.

abc: 4.671 5.614 7.803
angles: 86.46 89.74 90.01
Each line ends with the local moment (μB).
Sites, in units of the cell vectors:
V 0.544 0.173 0.341  1.95
V 0.487 0.503 0.000  1.97
V 0.515 0.820 0.658  1.95
V 0.978 0.662 0.317  1.94
V 0.974 0.353 0.681  1.25
V 0.990 0.999 0.013  1.93
O 0.807 0.625 0.562  -0.08
O 0.807 0.298 0.898  -0.07
O 0.794 0.968 0.231  -0.08
O 0.694 0.466 0.226  -0.08
O 0.715 0.130 0.576  -0.08
O 0.295 0.530 0.758  -0.08
O 0.199 0.711 0.094  -0.07
F 0.699 0.797 0.895  0.01
F 0.301 0.869 0.431  0.01
F 0.297 0.204 0.114  0.01
F 0.206 0.033 0.774  0.00
F 0.198 0.361 0.433  0.00